First-principles (PBE) data for a geometry-optimized BaCeMg2 structure, as listed in the Alexandria database.

Cell lengths 4.0149, 4.0149, 8.4957 Å; angles 90.00, 90.00, 90.00 degrees
Sites, in units of the cell vectors:
Ba  0.0000  0.0000  0.0000
Ce  0.0000  0.0000  0.5000
Mg  0.5000  0.5000  0.2873
Mg  0.5000  0.5000  0.7127

Results
Magnetic moment: 1.249 μB/f.u.
ΔE_f: 56 meV/atom
SG: P4/mmm (123)
Density: 3.95 g/cm³
E: -2.71 eV/atom